(1)
DFT (PBE) results for a geometry-optimized BaSn2Pd2Pt structure.

Structure (extended XYZ):
```
6
Lattice="-4.199 -2.575 1.428 2.222 -4.403 -1.407 2.260 -0.623 5.520" Properties=species:S:1:pos:R:3 pbc="T T T"
Ba 1.130 -0.312 2.760
Sn -2.099 -1.288 0.714
Sn 1.111 -2.201 -0.703
Pd 0.716 -3.959 4.173
Pd -0.433 -3.642 1.368
Pt 0.000 0.000 0.000
```

- M_tot: 0.000 μB per formula unit
- Space group: No. 123
- E_form: -0.383 eV per atom

***

(2)
DFT (PBE) results for a geometry-optimized PmTm4Tl2 structure.

Structure (extended XYZ):
```
14
Lattice="4.916 0.000 0.000 0.000 9.311 0.000 0.000 0.000 9.311" Properties=species:S:1:pos:R:3 pbc="T T T"
Pm 2.458 0.000 0.000
Pm 0.000 4.656 4.656
Tm 0.000 1.004 3.330
Tm 0.000 8.308 5.981
Tm 2.458 1.326 5.659
Tm 2.458 7.986 3.652
Tm 2.458 3.652 7.986
Tm 2.458 5.659 1.326
Tm 0.000 3.330 1.004
Tm 0.000 5.981 8.308
Tl 0.000 1.713 7.598
Tl 0.000 7.598 1.713
Tl 2.458 6.369 6.369
Tl 2.458 2.942 2.942
```

- M_tot: 0.000 μB per formula unit
- Space group: No. 136
- E_form: -0.114 eV per atom

***

(3)
DFT (PBE) results for a geometry-optimized Si2TePd2 structure.

Structure (extended XYZ):
```
10
Lattice="7.568 0.000 0.000 0.000 7.568 0.000 0.000 0.000 3.072" Properties=species:S:1:pos:R:3 pbc="T T T"
Si 1.057 4.841 1.536
Si 4.841 6.511 1.536
Si 6.511 2.727 1.536
Si 2.727 1.057 1.536
Te 0.000 0.000 0.000
Te 3.784 3.784 0.000
Pd 2.764 6.548 0.000
Pd 6.548 4.804 0.000
Pd 4.804 1.020 0.000
Pd 1.020 2.764 0.000
```

- ΔE_f (raw): -76 meV per atom
- M_tot: 0.000 μB per formula unit
- Space group: No. 127

***

(4)
DFT (PBE) results for a geometry-optimized Mn2TlRh structure.

Structure (extended XYZ):
```
4
Lattice="8.868 0.173 0.102 8.311 3.100 0.102 8.311 1.583 2.667" Properties=species:S:1:pos:R:3 pbc="T T T"
Mn 25.291 4.819 2.849
Mn 6.310 1.202 0.711
Rh 12.974 2.472 1.462
Tl 19.149 3.648 2.157
```

- M_tot: 6.621 μB per formula unit
- Space group: No. 160
- E_form: 0.429 eV per atom

***

no.,VASP energy (eV per atom),V (Å³ per atom),mass density (g/cm3)
1,-4.78,26.3,8.2
2,-4.02,30.4,9.6
3,-4.95,17.6,7.5
4,-6.58,16.7,10.4